The following is a PBEsol calculation of a geometry-optimized B5H9 structure, from Alexandria. Values from VASP.

Properties
Fermi-level density of states = 0.0 states/eV/f.u.
uncorrected energy = -4.651 eV per atom
magnetic moment = 0.00 μB per atom

Structure (Quantum ESPRESSO input):
```
&SYSTEM
  ibrav = 0, nat = 14, ntyp = 2
/
ATOMIC_SPECIES
H 1.01 H.upf
B 10.81 B.upf
ATOMIC_POSITIONS crystal
H 0.4750 0.0000 0.0000
H 0.0453 0.6487 0.3513
H 0.0453 0.3513 0.6487
H 0.3965 0.6487 0.6487
H 0.6940 0.3513 0.3513
H 0.7036 0.0000 0.2744
H 0.9780 0.0000 0.7256
H 0.7036 0.2744 0.0000
H 0.9780 0.7256 0.0000
B 0.2407 0.0000 0.0000
B 0.0193 0.8194 0.1806
B 0.0193 0.1806 0.8194
B 0.1999 0.8194 0.8194
B 0.8386 0.1806 0.1806
CELL_PARAMETERS angstrom
-3.7293 3.4334 -0.4848
-5.1844 -1.9142 -0.4186
-2.3291 1.9037 4.6550
```